Entry 1:
DFT (PBE) results for crystalline TaTcAg at its relaxed geometry.

For the distance to the lowest polymorph of the same formula, the calculation gives 0.163 eV/atom. The calculation puts the volume at 100 Å³/cell.

The structure belongs to space group I4mm (No. 107); the cell edges are 2.733, 2.733 and 13.434 Å and the angles 90.00°, 90.00° and 90.00°. Symmetry generates all atoms from Ta at (0.000, 0.000, 0.000), Tc at (0.000, 0.000, 0.336) and Ag at (0.000, 0.000, 0.671).

---

Entry 2:
DFT (PBE) results for crystalline YTaTc2Ag at its relaxed geometry.

Its total energy is -7.47 eV/atom. The calculation puts the volume at 114 Å³/cell.

The structure belongs to space group P4/mmm (No. 123); the cell edges are 4.743, 4.743 and 5.089 Å and the angles 90.00°, 90.00° and 90.00°. Symmetry generates all atoms from Y at (0.000, 0.000, 0.000), Ta at (0.500, 0.500, 0.500), Tc at (0.000, 0.500, 0.500) and Ag at (0.500, 0.500, 0.000).

---

Entry 3:
DFT (PBE) results for crystalline Ta2ZnTcAg at its relaxed geometry.

Its total energy is -5.51 eV/atom. The calculation puts the volume at 113 Å³/cell.

The structure belongs to space group P4/mmm (No. 123); the cell edges are 4.847, 4.847 and 4.810 Å and the angles 90.00°, 90.00° and 90.00°. Symmetry generates all atoms from Ta at (0.000, 0.500, 0.000), Zn at (0.000, 0.000, 0.500), Tc at (0.500, 0.500, 0.500) and Ag at (0.500, 0.500, 0.000).

---

Entry 4:
DFT (PBE) results for crystalline TaZnTcAg2 at its relaxed geometry.

Its total energy is -4.43 eV/atom. The calculation puts the volume at 102 Å³/cell.

The structure belongs to space group P4/mmm (No. 123); the cell edges are 4.551, 4.551 and 4.930 Å and the angles 90.00°, 90.00° and 90.00°. Symmetry generates all atoms from Ta at (0.000, 0.000, 0.000), Zn at (0.000, 0.000, 0.500), Tc at (0.500, 0.500, 0.000) and Ag at (0.000, 0.500, 0.500).

---

Entry 5:
DFT (PBE) results for crystalline Ta2AgTe at its relaxed geometry.

The calculation puts the volume at 156 Å³/cell. The calculation puts the raw formation energy at 401 meV per atom.

The structure belongs to space group C2/m (No. 12); the cell edges are 9.724, 3.431 and 4.837 Å and the angles 90.00°, 105.16° and 90.00°. Symmetry generates all atoms from Ta at (0.249, 0.000, 0.263), Ag at (0.000, 0.000, 0.500) and Te at (0.000, 0.500, 0.000).

---

Entry 6:
DFT (PBE) results for crystalline TaAg2Te at its relaxed geometry.

The calculation puts the volume at 168 Å³/cell. The calculation puts the raw formation energy at 346 meV per atom.

The structure belongs to space group Cmmm (No. 65); the cell edges are 3.542, 4.722 and 10.042 Å and the angles 90.00°, 90.00° and 90.00°. Symmetry generates all atoms from Ta at (0.000, 0.000, 0.000), Ag at (0.000, 0.500, 0.224) and Te at (0.000, 0.000, 0.500).

---

Entry 7:
DFT (PBE) results for crystalline TaAgTe at its relaxed geometry.

For the distance to the lowest polymorph of the same formula, the calculation gives 0.121 eV/atom. The calculation puts the volume at 276 Å³/cell. The calculation puts the raw formation energy at 394 meV per atom.

The structure belongs to space group Fmm2 (No. 42); the cell edges are 3.744, 4.953 and 14.868 Å and the angles 90.00°, 90.00° and 90.00°. Symmetry generates all atoms from Ta at (0.000, 0.000, 0.000), Ag at (0.000, 0.000, 0.641) and Te at (0.000, 0.000, 0.360).

---

Entry 8:
DFT (PBE) results for crystalline Ta2AgTe at its relaxed geometry.

The calculation puts the volume at 153 Å³/cell. The calculation puts the raw formation energy at 502 meV per atom.

The structure belongs to space group I-4m2 (No. 119); the cell edges are 4.163, 4.163 and 8.852 Å and the angles 90.00°, 90.00° and 90.00°. Symmetry generates all atoms from Ta at (0.000, 0.000, 0.000), Ta at (0.000, 0.500, 0.250), Ag at (0.000, 0.000, 0.500) and Te at (0.000, 0.500, 0.750).

---

Entry 9:
DFT (PBE) results for crystalline TaAg2Te at its relaxed geometry.

The calculation puts the volume at 161 Å³/cell. The calculation puts the raw formation energy at 387 meV per atom.

The structure belongs to space group Cm (No. 8); the cell edges are 9.660, 3.128 and 5.435 Å and the angles 90.00°, 101.21° and 90.00°. Symmetry generates all atoms from Ta at (0.000, 0.000, 0.000), Ag at (0.244, 0.500, 0.298), Ag at (0.492, 0.000, 0.481) and Te at (0.256, 0.000, 0.814).

---

Entry 10:
DFT (PBE) results for crystalline TaAg2Te at its relaxed geometry.

The calculation puts the volume at 313 Å³/cell. The calculation puts the raw formation energy at 475 meV per atom.

The structure belongs to space group F-43m (No. 216); the cell edges are 6.792, 6.792 and 6.792 Å and the angles 90.00°, 90.00° and 90.00°. Symmetry generates all atoms from Ta at (0.000, 0.000, 0.000), Ag at (0.000, 0.000, 0.500), Ag at (0.250, 0.250, 0.750) and Te at (0.250, 0.250, 0.250).